! PBE with a Hubbard U MgV3O8, optimized geometry; values from VASP
! Magnetic moment = 4.0 μB per cell
! Distance to the lowest polymorph of the same formula = 0 meV/atom
&SYSTEM
  ibrav = 0, nat = 48, ntyp = 3
/
ATOMIC_SPECIES
Mg 24.30 Mg.upf
O 16.00 O.upf
V 50.94 V.upf
CELL_PARAMETERS angstrom
-2.566 0.136 -8.303
-6.562 -3.834 1.965
-8.629 5.437 2.756
ATOMIC_POSITIONS angstrom
Mg -10.023 3.754 1.473
O -6.177 2.670 -4.353
O -11.224 1.782 1.977
O -14.753 2.614 -1.380
V -14.247 1.893 -4.650
O -12.857 2.066 -3.650
V -6.143 -2.216 0.225
O -6.533 -0.042 -5.560
O -8.642 1.705 -4.919
V -6.940 1.218 -4.022
V -13.931 1.837 -0.154
O -4.899 -0.327 0.067
O -11.019 3.217 -5.615
O -6.842 1.819 0.712
O -7.335 -0.914 -0.777
O -5.436 0.431 -2.888
O -6.738 -1.477 2.032
O -10.422 2.654 -2.805
V -9.098 2.633 -1.680
O -4.677 -1.065 -7.646
V -9.388 2.687 -6.093
O -3.880 -1.037 -4.847
V -11.613 3.956 -3.807
V -3.509 -0.154 1.068
O -8.405 4.234 -1.677
O -2.923 1.453 0.722
O -9.352 -2.494 -1.906
O -14.833 0.286 -4.305
Mg -11.716 0.686 -2.604
O -6.973 -3.665 0.338
V -8.658 -0.893 -1.902
O -10.034 0.153 -1.422
O -13.877 2.776 1.265
O -10.783 5.404 -3.921
O -13.080 2.804 4.064
O -12.321 1.308 -0.695
O -3.003 -0.874 -2.203
V -10.817 0.521 0.439
O -9.683 2.417 -0.076
O -11.580 -0.931 0.770
O -8.073 -0.677 -3.507
O -9.114 0.034 1.337
O -10.914 -0.080 -4.295
V -3.825 -0.097 -3.429
O -7.722 1.586 -2.161
Mg -7.733 -2.015 -5.055
Mg -6.041 1.054 -0.979
V -8.368 -0.948 2.510